# 1
Below is crystalline Co2BiPW at its relaxed geometry, with properties calculated at the GGA-PBE level.

CIF file:
```
data_Co2BiPW
_cell_length_a 4.121
_cell_length_b 5.387
_cell_length_c 4.121
_cell_angle_alpha 90.00
_cell_angle_beta 90.00
_cell_angle_gamma 90.00
_symmetry_space_group_name_H-M 'P 1'
_symmetry_Int_Tables_number 1
loop_
_symmetry_equiv_pos_as_xyz
'x,y,z'
loop_
_atom_site_label
_atom_site_type_symbol
_atom_site_fract_x
_atom_site_fract_y
_atom_site_fract_z
_atom_site_occupancy
P1 P 0.000 0.000 0.000 1
Co1 Co 0.000 0.000 0.500 1
Co2 Co 0.500 0.000 0.000 1
Bi1 Bi 0.000 0.500 0.000 1
W1 W 0.500 0.500 0.500 1
```

=====

# 2
Below is crystalline ZrCo2BiP at its relaxed geometry, with properties calculated at the GGA-PBE level.

CIF file:
```
data_ZrCo2BiP
_cell_length_a 4.662
_cell_length_b 5.617
_cell_length_c 4.662
_cell_angle_alpha 90.00
_cell_angle_beta 90.00
_cell_angle_gamma 90.00
_symmetry_space_group_name_H-M 'P 1'
_symmetry_Int_Tables_number 1
loop_
_symmetry_equiv_pos_as_xyz
'x,y,z'
loop_
_atom_site_label
_atom_site_type_symbol
_atom_site_fract_x
_atom_site_fract_y
_atom_site_fract_z
_atom_site_occupancy
P1 P 0.500 0.500 0.500 1
Co1 Co 0.000 0.000 0.500 1
Co2 Co 0.500 0.000 0.000 1
Bi1 Bi 0.000 0.000 0.000 1
Zr1 Zr 0.000 0.500 0.000 1
```

=====

no.,energy relative to the elements (eV per atom),calculated total energy (eV for the cell shown),V (Å³ per cell)
1,1.1354,-30.8,91.5
2,1.3540,-25.3,122.1